# Na5Mn2P2C2O14 PBE with a Hubbard U relaxed
# DFT total energy: -337.9 eV for the cell shown
# magnetization: 0.3600 μB per atom
data_Na5Mn2P2C2O14
_symmetry_space_group_name_H-M 'P -1'
_symmetry_Int_Tables_number 2
_cell_length_a 8.444
_cell_length_b 8.538
_cell_length_c 10.467
_cell_angle_alpha 108.63
_cell_angle_beta 107.57
_cell_angle_gamma 103.00
loop_
_symmetry_equiv_pos_as_xyz
'x,y,z'
'-x,-y,-z'
loop_
_atom_site_label
_atom_site_type_symbol
_atom_site_fract_x
_atom_site_fract_y
_atom_site_fract_z
_atom_site_occupancy
Na1 Na 0.012 0.016 0.234 1
Na2 Na 0.197 0.448 0.918 1
Na3 Na 0.249 0.754 0.255 1
Na4 Na 0.270 0.772 0.769 1
Na5 Na 0.487 0.473 0.251 1
Mn1 Mn 0.189 0.446 0.359 1
Mn2 Mn 0.306 0.058 0.641 1
P1 P 0.066 0.310 0.579 1
P2 P 0.438 0.183 0.423 1
C1 C 0.029 0.285 0.065 1
C2 C 0.480 0.234 0.924 1
O1 O 0.024 0.603 0.324 1
O2 O 0.037 0.771 0.854 1
O3 O 0.045 0.785 0.077 1
O4 O 0.071 0.827 0.577 1
O5 O 0.168 0.219 0.667 1
O6 O 0.176 0.424 0.134 1
O7 O 0.204 0.455 0.568 1
O8 O 0.301 0.047 0.449 1
O9 O 0.332 0.259 0.328 1
O10 O 0.336 0.089 0.849 1
O11 O 0.424 0.673 0.426 1
O12 O 0.449 0.695 0.935 1
O13 O 0.458 0.700 0.154 1
O14 O 0.471 0.923 0.664 1